Below is a relaxed SrAc2SiO6 crystal, with properties calculated at the PBE-GGA level.

- E_form (uncorrected): -2979 meV per atom
- Electronic total energy: -74.862 eV per cell
- Total magnetic moment: 0.00 μB/cell

abc: 5.6219 5.6219 5.0682
angles: 90.00 90.00 90.00
With the nearest neighbours (Å) after each atom.
Space group P4mm (No. 99)
Inequivalent atoms, fractional coordinates:
Sr 0.0000 0.0000 0.0000  5 O 2.37-2.40
Ac 0.0000 0.5000 0.4490  4 O 2.51
Si 0.5000 0.5000 0.0484  5 O 1.69-1.78
O 0.0000 0.0000 0.5325  1 Sr 2.37
O 0.2862 0.2862 0.1527  1 Si 1.78
O 0.5000 0.5000 0.7156  1 Si 1.69